Entry a
# TiTlP2S PBE relaxed
# - size of the total moment (μB per formula unit) = 0.9
# - mass density (g cm⁻³) = 4.512
data_TiTlP2S
_chemical_formula_sum 'Ti1 Tl1 P2 S1'
_cell_length_a 5.016
_cell_length_b 5.016
_cell_length_c 5.065
_cell_angle_alpha 90.00
_cell_angle_beta 90.00
_cell_angle_gamma 90.00
_symmetry_space_group_name_H-M 'P 4/m m m'
_symmetry_Int_Tables_number 123
_symmetry_space_group_name_Hall '-P 4 2'
loop_
_atom_site_label
_atom_site_fract_x
_atom_site_fract_y
_atom_site_fract_z
Ti1 0.000 0.000 0.000
Tl1 0.500 0.500 0.500
P1 0.000 0.500 0.500
S1 0.500 0.500 0.000

=====

Entry b
# TiTlP2S PBE relaxed
# - size of the total moment (μB per formula unit) = 0.0
# - mass density (g cm⁻³) = 5.202
data_TiTlP2S
_chemical_formula_sum 'Ti1 Tl1 P2 S1'
_cell_length_a 4.820
_cell_length_b 4.820
_cell_length_c 4.757
_cell_angle_alpha 90.00
_cell_angle_beta 90.00
_cell_angle_gamma 90.00
_symmetry_space_group_name_H-M 'P 4/m m m'
_symmetry_Int_Tables_number 123
_symmetry_space_group_name_Hall '-P 4 2'
loop_
_atom_site_label
_atom_site_fract_x
_atom_site_fract_y
_atom_site_fract_z
Ti1 0.000 0.000 0.000
Tl1 0.500 0.500 0.500
P1 0.000 0.500 0.000
S1 0.000 0.000 0.500

=====

From most stable to least stable, the computed energies give entry b, entry a.

=====

Entry a
# TiVPS2 PBE relaxed
# - size of the total moment (μB per formula unit) = 2.6
# - mass density (g cm⁻³) = 3.184
data_TiVPS2
_chemical_formula_sum 'Ti1 V1 P1 S2'
_cell_length_a 4.620
_cell_length_b 4.620
_cell_length_c 4.739
_cell_angle_alpha 90.00
_cell_angle_beta 90.00
_cell_angle_gamma 90.00
_symmetry_space_group_name_H-M 'P 4/m m m'
_symmetry_Int_Tables_number 123
_symmetry_space_group_name_Hall '-P 4 2'
loop_
_atom_site_label
_atom_site_fract_x
_atom_site_fract_y
_atom_site_fract_z
Ti1 0.000 0.000 0.000
V1 0.500 0.500 0.500
P1 0.000 0.000 0.500
S1 0.000 0.500 0.000

=====

Entry b
# TiVPS2 PBE relaxed
# - size of the total moment (μB per formula unit) = 1.8
# - mass density (g cm⁻³) = 3.454
data_TiVPS2
_chemical_formula_sum 'Ti1 V1 P1 S2'
_cell_length_a 4.501
_cell_length_b 4.501
_cell_length_c 4.602
_cell_angle_alpha 90.00
_cell_angle_beta 90.00
_cell_angle_gamma 90.00
_symmetry_space_group_name_H-M 'P 4/m m m'
_symmetry_Int_Tables_number 123
_symmetry_space_group_name_Hall '-P 4 2'
loop_
_atom_site_label
_atom_site_fract_x
_atom_site_fract_y
_atom_site_fract_z
Ti1 0.000 0.000 0.000
V1 0.500 0.500 0.500
P1 0.500 0.500 0.000
S1 0.000 0.500 0.500

=====

From most stable to least stable, the computed energies give entry b, entry a.